(1)
Here is an optimized crystal structure of Ca2LaTlPd from Alexandria. Energies are from PBE.

Results
ΔE_f: -0.35 eV/atom
density: 5.1 g/cm3
total magnetic moment: 0.0 μB per formula unit

a b c (Å): 5.5764 5.5764 5.5534
angles (deg): 90.00 90.00 90.00
Last column: nearest neighbours and their distance in Å.
Element x y z (fractional)
Tl 0.5000 0.5000 0.5000  8 Ca 3.93, 4 La 3.94
Pd 0.0000 0.0000 0.0000  2 La 2.78, 4 Ca 2.79
La 0.0000 0.0000 0.5000  2 Pd 2.78
Ca 0.5000 0.0000 0.0000  2 Pd 2.79
Ca 0.0000 0.5000 0.0000  2 Pd 2.79



(2)
Here is an optimized crystal structure of HfHF2 from Alexandria. Energies are from PBE.

Results
density: 8.7 g/cm3
distance to the lowest polymorph of the same formula: 0 meV per atom
total magnetic moment: 0.0 μB per formula unit

a b c (Å): 3.3817 3.3817 7.6518
angles (deg): 77.23 77.23 90.00
Last column: nearest neighbours and their distance in Å.
Element x y z (fractional)
Hf 0.7500 0.2500 0.5000  4 F 2.14, 4 H 2.39
Hf 0.0000 0.0000 0.0000  4 F 2.14, 4 H 2.39
H 0.2500 0.7500 0.5000  4 F 2.21, 4 Hf 2.39
H 0.5000 0.5000 0.0000  4 F 2.21, 4 Hf 2.39
F 0.6513 0.1250 0.2500  2 Hf 2.14, 2 H 2.21, 2 F 2.27
F 0.8750 0.9013 0.7500  2 Hf 2.14, 2 H 2.21, 2 F 2.27
F 0.3750 0.3487 0.7500  2 Hf 2.14, 2 H 2.21, 2 F 2.27
F 0.0987 0.6250 0.2500  2 Hf 2.14, 2 H 2.21, 2 F 2.27



(3)
Here is an optimized crystal structure of Nd4TePbC from Alexandria. Energies are from PBE.

Results
total energy: -5.618 eV per atom
density: 7.4 g/cm3
total magnetic moment: 0.0 μB per formula unit

a b c (Å): 7.1147 7.1309 8.9272
angles (deg): 90.00 113.48 90.00
Last column: nearest neighbours and their distance in Å.
Element x y z (fractional)
Nd 0.0000 0.0000 0.5000  2 C 2.52
Nd 0.9078 0.2500 0.8155  1 C 2.58
Nd 0.5000 0.0000 0.5000  2 C 2.52
Nd 0.4068 0.7500 0.8137  1 C 2.57
Nd 0.5000 0.5000 0.5000  2 C 2.52
Nd 0.0000 0.5000 0.5000  2 C 2.52
Nd 0.5932 0.2500 0.1863  1 C 2.57
Nd 0.0922 0.7500 0.1845  1 C 2.58
C 0.2499 0.7500 0.4998  6 Nd 2.52-2.58
C 0.7501 0.2500 0.5002  6 Nd 2.52-2.58
Te 0.6113 0.7500 0.2226  9 Nd 3.35-3.58
Te 0.3887 0.2500 0.7774  9 Nd 3.35-3.58
Pb 0.8931 0.7500 0.7861  9 Nd 3.26-3.57
Pb 0.1069 0.2500 0.2139  9 Nd 3.26-3.57